A relaxed structure of InAgBr5. Source: Alexandria via LeMat-Bulk, functional PBE. Values from VASP.

Results
Uncorrected formation energy ... -515 meV per atom
Space group ... C2/c (15)
Fermi-level density of states ... 3.25 states/eV/f.u.

```
&SYSTEM
  ibrav = 0, nat = 14, ntyp = 3
/
ATOMIC_SPECIES
In 114.82 In.upf
Ag 107.87 Ag.upf
Br 79.90 Br.upf
CELL_PARAMETERS angstrom
5.0392 -5.9456 0.0000
5.0392 5.9456 0.0000
-3.4422 0.0000 8.8907
ATOMIC_POSITIONS crystal
In 0.1910 0.8090 0.7500
In 0.8090 0.1910 0.2500
Ag 0.5000 0.5000 0.0000
Ag 0.5000 0.5000 0.5000
Br 0.1003 0.2582 0.4560
Br 0.1742 0.5424 0.8722
Br 0.2582 0.1003 0.9560
Br 0.4099 0.5901 0.2500
Br 0.4576 0.8258 0.6278
Br 0.5424 0.1742 0.3722
Br 0.5901 0.4099 0.7500
Br 0.7418 0.8997 0.0440
Br 0.8258 0.4576 0.1278
Br 0.8997 0.7418 0.5440
```